! CdCoOs2, optimized geometry, DFT PBE; values from VASP
&SYSTEM
  ibrav = 0, nat = 8, ntyp = 3
/
ATOMIC_SPECIES
Os 190.23 Os.upf
Cd 112.41 Cd.upf
Co 58.93 Co.upf
CELL_PARAMETERS angstrom
7.303 0.000 0.000
0.000 7.303 0.000
3.652 3.652 2.444
ATOMIC_POSITIONS crystal
Os 0.375 0.439 0.750
Cd 0.750 0.250 0.500
Co 0.250 0.750 0.500
Os 0.189 0.625 0.250
Os 0.875 0.811 0.750
Os 0.561 0.125 0.250
Cd 0.000 0.000 0.000
Co 0.500 0.500 0.000
! - E_form (meV/atom) = 951.0
! - V (A^3/atom) = 16.29
! - DOS at the Fermi energy (states/eV/cell) = 11.17
! - E_tot (hartree per atom) = -0.24508
! - spin magnetization (μB per formula unit) = 0.47